First-principles (GGA-PBE) data for LiScIn after structural relaxation, as listed in Alexandria.

Magnetic moment (μB per cell): 0.2
DOS at the Fermi energy (states/eV/cell): 2.8
Density (g cm⁻³): 4.04
Energy (eV/atom): -3.72
Space-group type: No. 156

The structure in CIF format:
```
data_LiScIn
_cell_length_a 3.274
_cell_length_b 3.274
_cell_length_c 7.385
_cell_angle_alpha 90.00
_cell_angle_beta 90.00
_cell_angle_gamma 120.00
_space_group_name_H-M_alt 'P 1'
_space_group_IT_number 1
loop_
_space_group_symop_operation_xyz
'x,y,z'
loop_
_atom_site_label
_atom_site_type_symbol
_atom_site_fract_x
_atom_site_fract_y
_atom_site_fract_z
Li1 Li 0.000 0.000 0.000
Sc1 Sc 0.667 0.333 0.351
In1 In 0.333 0.667 0.690
```

First-principles (GGA-PBE) data for EuMgAsAu after structural relaxation, as listed in Alexandria.

Magnetic moment (μB per cell): 7.0
DOS at the Fermi energy (states/eV/cell): 0.3
Density (g cm⁻³): 8.28
Energy (eV/atom): -5.67
Space-group type: No. 216

The structure in CIF format:
```
data_EuMgAsAu
_cell_length_a 5.028
_cell_length_b 5.028
_cell_length_c 5.028
_cell_angle_alpha 60.00
_cell_angle_beta 60.00
_cell_angle_gamma 60.00
_space_group_name_H-M_alt 'P 1'
_space_group_IT_number 1
loop_
_space_group_symop_operation_xyz
'x,y,z'
loop_
_atom_site_label
_atom_site_type_symbol
_atom_site_fract_x
_atom_site_fract_y
_atom_site_fract_z
Eu1 Eu 0.000 0.000 0.000
Mg1 Mg 0.500 0.500 0.500
As1 As 0.250 0.250 0.250
Au1 Au 0.750 0.750 0.750
```

First-principles (GGA-PBE) data for NdDy2Be after structural relaxation, as listed in Alexandria.

Magnetic moment (μB per cell): 0.0
DOS at the Fermi energy (states/eV/cell): 4.3
Distance to the lowest polymorph of the same formula (meV/atom): 0
Density (g cm⁻³): 7.51
Energy (eV/atom): -4.36
Space-group type: No. 123

The structure in CIF format:
```
data_NdDy2Be
_cell_length_a 3.476
_cell_length_b 3.476
_cell_length_c 8.749
_cell_angle_alpha 90.00
_cell_angle_beta 90.00
_cell_angle_gamma 90.00
_space_group_name_H-M_alt 'P 1'
_space_group_IT_number 1
loop_
_space_group_symop_operation_xyz
'x,y,z'
loop_
_atom_site_label
_atom_site_type_symbol
_atom_site_fract_x
_atom_site_fract_y
_atom_site_fract_z
Nd1 Nd 0.000 0.000 0.000
Dy1 Dy 0.500 0.500 0.312
Dy2 Dy 0.500 0.500 0.688
Be1 Be 0.000 0.000 0.500
```

First-principles (GGA-PBE) data for Sr2Ru2Se after structural relaxation, as listed in Alexandria.

Magnetic moment (μB per cell): 0.0
DOS at the Fermi energy (states/eV/cell): 4.3
Distance to the lowest polymorph of the same formula (meV/atom): 0
Density (g cm⁻³): 6.31
Energy (eV/atom): -5.47
Formation energy without anion corrections (eV per atom): -0.39
Space-group type: No. 139

The structure in CIF format:
```
data_Sr2Ru2Se
_cell_length_a 9.428
_cell_length_b 9.428
_cell_length_c 9.428
_cell_angle_alpha 157.74
_cell_angle_beta 157.74
_cell_angle_gamma 31.68
_space_group_name_H-M_alt 'P 1'
_space_group_IT_number 1
loop_
_space_group_symop_operation_xyz
'x,y,z'
loop_
_atom_site_label
_atom_site_type_symbol
_atom_site_fract_x
_atom_site_fract_y
_atom_site_fract_z
Sr1 Sr 0.102 0.102 0.000
Sr2 Sr 0.898 0.898 0.000
Ru1 Ru 0.250 0.750 0.500
Ru2 Ru 0.750 0.250 0.500
Se1 Se 0.500 0.500 0.000
```